1.
Compound: NaPdBrCl2
Source: Alexandria via LeMat-Bulk
Functional: PBE
Structure: relaxed

Computed properties:
D(E_F), states/eV/cell: 1.543
Energy relative to the elements, uncorrected, meV/atom: -819
SG: P4/mmm, No. 123

```
NaPdBrCl2
1.0
4.906 0.000 0.000
0.000 4.906 0.000
0.000 0.000 5.241
Na Pd Br Cl
1 1 1 2
direct
0.000 0.000 0.000
0.500 0.500 0.500
0.500 0.500 0.000
0.000 0.500 0.500
0.500 0.000 0.500
```


2.
Compound: Cs2CuHgSb
Source: Alexandria via LeMat-Bulk
Functional: PBE
Structure: relaxed

Computed properties:
D(E_F), states/eV/cell: 2.902
Energy relative to the elements, uncorrected, meV/atom: -166
Polymorph energy (0 for the lowest one), eV/atom: 0.000
SG: P4/mmm, No. 123

```
Cs2CuHgSb
1.0
6.950 0.000 0.000
0.000 6.950 0.000
0.000 0.000 4.839
Cs Cu Hg Sb
2 1 1 1
direct
0.000 0.500 0.000
0.500 0.000 0.000
0.000 0.000 0.000
0.500 0.500 0.500
0.000 0.000 0.500
```


3.
Compound: ScCoGe2
Source: Alexandria via LeMat-Bulk
Functional: PBE
Structure: relaxed

Computed properties:
D(E_F), states/eV/cell: 7.401
ΔH_f (0 K), eV per atom: -0.08
SG: I-42d, No. 122

```
ScCoGe2
1.0
-2.134 2.134 8.151
2.134 -2.134 8.151
2.134 2.134 -8.151
Sc Co Ge
2 2 4
direct
0.000 0.000 0.000
0.750 0.250 0.500
0.250 0.750 0.500
0.500 0.500 0.000
0.223 0.625 0.098
0.375 0.473 0.598
0.527 0.125 0.902
0.875 0.777 0.402
```


4.
Compound: Rb12Zn3Cl5
Source: Alexandria via LeMat-Bulk
Functional: PBE
Structure: relaxed

Computed properties:
D(E_F), states/eV/cell: 57.889
Energy relative to the elements, uncorrected, meV/atom: -788
SG: Ia-3d, No. 230

```
Rb12Zn3Cl5
1.0
-10.347 10.347 10.347
10.347 -10.347 10.347
10.347 10.347 -10.347
Rb Zn Cl
48 12 20
direct
0.034 0.209 0.125
0.034 0.325 0.909
0.084 0.709 0.675
0.084 0.875 0.409
0.091 0.625 0.416
0.091 0.966 0.675
0.125 0.034 0.209
0.125 0.591 0.916
0.175 0.209 0.584
0.175 0.466 0.591
0.209 0.125 0.034
0.209 0.584 0.175
0.291 0.325 0.916
0.291 0.466 0.375
0.325 0.909 0.034
0.325 0.916 0.291
0.375 0.291 0.466
0.375 0.584 0.909
0.409 0.084 0.875
0.409 0.825 0.534
0.416 0.091 0.625
0.416 0.825 0.791
0.466 0.375 0.291
0.466 0.591 0.175
0.534 0.409 0.825
0.534 0.625 0.709
0.584 0.175 0.209
0.584 0.909 0.375
0.591 0.175 0.466
0.591 0.916 0.125
0.625 0.416 0.091
0.625 0.709 0.534
0.675 0.084 0.709
0.675 0.091 0.966
0.709 0.534 0.625
0.709 0.675 0.084
0.791 0.416 0.825
0.791 0.875 0.966
0.825 0.534 0.409
0.825 0.791 0.416
0.875 0.409 0.084
0.875 0.966 0.791
0.909 0.034 0.325
0.909 0.375 0.584
0.916 0.125 0.591
0.916 0.291 0.325
0.966 0.675 0.091
0.966 0.791 0.875
0.125 0.250 0.375
0.125 0.375 0.750
0.250 0.375 0.125
0.250 0.875 0.625
0.375 0.125 0.250
0.375 0.750 0.125
0.625 0.250 0.875
0.625 0.875 0.750
0.750 0.125 0.375
0.750 0.625 0.875
0.875 0.625 0.250
0.875 0.750 0.625
0.000 0.000 0.000
0.000 0.000 0.500
0.000 0.500 0.000
0.000 0.500 0.500
0.125 0.750 0.875
0.125 0.875 0.250
0.250 0.125 0.875
0.250 0.625 0.375
0.375 0.250 0.625
0.375 0.625 0.750
0.500 0.000 0.000
0.500 0.000 0.500
0.500 0.500 0.000
0.500 0.500 0.500
0.625 0.375 0.250
0.625 0.750 0.375
0.750 0.375 0.625
0.750 0.875 0.125
0.875 0.125 0.750
0.875 0.250 0.125
```